No. 1
An optimized crystal structure of V3TeIr, computed with PBE.

Output
formation energy (no corrections)	0.71	eV per atom
spin magnetization	4.88	μB per formula unit
crystal system	cubic
total DFT energy (no corrections)	-7.162	eV per atom
offset from the most stable computed form	0.0	meV/atom

Cell and atoms, written as POSCAR:
```
V3TeIr
1.0
-0.152 0.897 -4.636
-3.787 -2.793 -0.416
-2.820 3.703 0.808
Te V Ir
1 3 1
Cartesian
-3.379 0.903 -2.122
-1.410 1.852 0.404
-1.894 -1.396 -0.208
-0.076 0.448 -2.318
0.000 0.000 0.000
```

No. 2
An optimized crystal structure of Tb3Dy2Ho6, computed with PBE.

Output
spin magnetization	0.00	μB per formula unit
E_form	301.8	kJ/mol of formula units
crystal system	tetragonal
total DFT energy (no corrections)	-4.312	eV per atom
offset from the most stable computed form	265.8	meV/atom

Cell and atoms, written as POSCAR:
```
Tb3Dy2Ho6
1.0
-2.126 -2.224 -3.541
4.162 -1.508 -1.552
-2.433 -11.657 11.891
Ho Dy Tb
6 2 3
Cartesian
1.738 -4.031 1.489
-2.135 -11.358 5.310
1.009 -11.000 6.304
-0.861 -8.229 5.686
0.464 -7.160 1.112
-1.406 -4.389 0.494
0.888 -3.110 -1.687
-1.285 -12.279 8.485
0.000 0.000 0.000
0.171 -9.957 3.045
-0.568 -5.432 3.753
```

No. 3
An optimized crystal structure of Pr4NdSe4, computed with PBE.

Output
formation energy (no corrections)	-1.60	eV per atom
spin magnetization	0.00	μB per formula unit
crystal system	tetragonal
total DFT energy (no corrections)	-5.803	eV per atom

Cell and atoms, written as POSCAR:
```
Pr4NdSe4
1.0
5.572 0.000 2.234
2.738 6.660 1.238
0.307 -0.128 7.300
Se Pr Nd
4 4 1
Cartesian
2.255 3.983 2.441
4.040 5.233 6.054
4.576 1.299 4.718
6.361 2.549 8.331
1.778 1.267 3.632
6.839 5.265 7.140
3.564 2.577 7.241
5.052 3.955 3.530
0.000 0.000 0.000
```

No. 4
An optimized crystal structure of TbTm2ScP4, computed with PBE.

Output
spin magnetization	0.00	μB per formula unit
E_form	-1203.8	kJ/mol of formula units
crystal system	monoclinic
total DFT energy (no corrections)	-6.753	eV per atom

Cell and atoms, written as POSCAR:
```
TbTm2ScP4
1.0
-1.309 -2.857 -2.356
1.534 -4.615 4.743
-6.378 2.163 0.923
Tm P Tb Sc
2 4 1 1
Cartesian
-3.844 -0.347 -0.717
-2.422 -1.226 2.833
-4.309 -3.297 3.119
-0.432 -2.953 3.821
-4.412 0.501 1.845
-1.844 -2.012 0.191
0.112 -3.736 1.193
0.000 0.000 0.000
```

No. 5
An optimized crystal structure of KBiPt3, computed with PBE.

Output
spin magnetization	0.00	μB per formula unit
E_form	820.8	kJ/mol of formula units
crystal system	cubic
total DFT energy (no corrections)	-2.919	eV per atom
offset from the most stable computed form	1154.8	meV/atom

Cell and atoms, written as POSCAR:
```
KBiPt3
1.0
4.997 0.000 0.000
0.000 4.997 0.000
0.000 0.000 4.997
K Pt Bi
1 3 1
Cartesian
0.000 0.000 0.000
0.000 0.000 2.499
0.000 2.499 0.000
2.499 0.000 0.000
2.499 2.499 2.499
```

No. 6
An optimized crystal structure of Sm2Ga6Ir, computed with PBE.

Output
spin magnetization	0.00	μB per formula unit
E_form	-554.3	kJ/mol of formula units
crystal system	cubic
total DFT energy (no corrections)	-4.689	eV per atom
offset from the most stable computed form	0.0	meV/atom

Cell and atoms, written as POSCAR:
```
Sm2Ga6Ir
1.0
5.422 0.000 3.130
1.807 5.112 3.130
0.000 0.000 6.261
Ir Ga Sm
1 6 2
Cartesian
0.000 0.000 0.000
4.395 1.451 7.613
2.053 1.451 6.261
4.395 1.451 4.908
2.834 3.660 7.613
5.176 3.660 6.261
2.834 3.660 4.908
1.807 1.278 3.130
5.422 3.834 9.391
```

No. 7
An optimized crystal structure of KAlSi2, computed with PBE.

Output
formation energy (no corrections)	0.20	eV per atom
spin magnetization	0.00	μB per formula unit
crystal system	monoclinic
total DFT energy (no corrections)	-3.717	eV per atom

Cell and atoms, written as POSCAR:
```
KAlSi2
1.0
4.254 0.022 -0.001
2.640 3.336 -0.001
1.434 0.699 7.136
K Si Al
1 2 1
Cartesian
2.121 1.033 1.648
6.200 3.020 5.535
1.459 0.711 6.301
4.147 2.020 4.351
```

No. 8
An optimized crystal structure of TbMg3Au4, computed with PBE.

Output
spin magnetization	0.00	μB per formula unit
E_form	-520.6	kJ/mol of formula units
crystal system	trigonal
total DFT energy (no corrections)	-3.490	eV per atom

Cell and atoms, written as POSCAR:
```
TbMg3Au4
1.0
-0.207 -4.302 1.959
1.528 -3.773 -2.411
7.909 -1.644 2.940
Mg Au Tb
3 4 1
Cartesian
4.615 -4.859 1.244
6.807 -7.305 1.818
2.422 -2.413 0.669
5.086 -2.040 1.772
7.148 -4.504 2.292
4.143 -7.679 0.715
2.081 -5.215 0.195
0.000 0.000 0.000
```

No. 9
An optimized crystal structure of CoWN, computed with PBE.

Output
formation energy (no corrections)	0.07	eV per atom
spin magnetization	1.27	μB per formula unit
crystal system	tetragonal
total DFT energy (no corrections)	-9.389	eV per atom

Cell and atoms, written as POSCAR:
```
CoWN
1.0
3.951 0.000 0.000
0.000 3.951 0.000
-1.976 -1.976 4.408
W N Co
2 2 2
Cartesian
0.000 0.000 4.248
1.976 0.000 2.043
1.976 0.000 4.236
1.976 1.976 2.032
0.000 0.000 0.333
0.000 1.976 2.537
```

No. 10
An optimized crystal structure of YWN3, computed with PBE.

Output
formation energy (no corrections)	-0.36	eV per atom
spin magnetization	0.00	μB per formula unit
crystal system	monoclinic
total DFT energy (no corrections)	-9.243	eV per atom

Cell and atoms, written as POSCAR:
```
YWN3
1.0
5.598 0.000 0.619
0.000 3.930 0.000
-1.736 0.000 5.235
N Y W
6 2 2
Cartesian
3.853 0.982 3.435
-0.477 0.268 5.235
-0.477 1.697 5.235
0.009 2.947 2.419
4.339 3.662 0.620
4.339 2.233 0.620
2.332 2.947 1.653
1.529 0.982 4.201
-0.256 0.982 1.427
4.118 2.947 4.427
```

No. 11
An optimized crystal structure of Mg2In2Au, computed with PBE.

Output
spin magnetization	0.00	μB per formula unit
E_form	-55.9	kJ/mol of formula units
crystal system	tetragonal
total DFT energy (no corrections)	-2.504	eV per atom
offset from the most stable computed form	150.9	meV/atom

Cell and atoms, written as POSCAR:
```
Mg2In2Au
1.0
-6.105 0.802 -3.618
-3.706 -1.236 5.979
0.029 4.479 0.944
Au In Mg
2 4 4
Cartesian
-4.906 -0.217 1.180
0.000 0.000 0.000
-7.126 1.729 3.114
-3.400 1.552 3.837
-2.656 2.316 0.190
-6.382 2.492 -0.533
-5.267 -0.769 3.811
-4.545 0.335 -1.450
-7.593 -0.126 0.831
-2.218 -0.308 1.530
```

No. 12
An optimized crystal structure of La2PmSn2, computed with PBE.

Output
spin magnetization	0.01	μB per formula unit
E_form	-349.7	kJ/mol of formula units
crystal system	tetragonal
total DFT energy (no corrections)	-5.247	eV per atom
offset from the most stable computed form	0.0	meV/atom

Cell and atoms, written as POSCAR:
```
La2PmSn2
1.0
-3.944 -2.486 0.012
3.668 -5.842 -4.735
2.539 -3.997 6.898
La Sn Pm
4 4 2
Cartesian
-0.332 -3.847 -0.366
0.363 -4.930 3.826
1.900 -7.395 -1.651
2.595 -8.477 2.540
1.415 -2.235 1.956
2.631 -4.184 -2.090
4.793 -7.604 0.207
3.576 -5.655 4.253
3.104 -4.920 1.081
0.000 0.000 0.000
```